MgZn2Br | PBE | relaxed

extended XYZ file:
```
8
Lattice="7.776 0.000 0.000 0.000 4.281 0.000 -1.669 0.000 6.008" Properties=species:S:1:pos:R:3 pbc="T T T"
Mg 0.000 0.000 0.000
Mg 3.888 2.140 0.000
Zn -0.405 2.140 4.591
Zn 0.935 0.000 4.727
Zn 3.483 0.000 4.591
Zn 4.824 2.140 4.727
Br -0.174 2.140 1.798
Br 3.714 0.000 1.798
```

Spin magnetization   0.000 μB per atom
ρ   3.9 Mg/m³
Calculated total energy   -1.729 eV/atom
Uncorrected formation energy   -1.1 eV per formula unit



MgZnBr2 | PBE | relaxed

extended XYZ file:
```
4
Lattice="3.464 0.000 0.000 0.000 3.464 0.000 0.000 0.000 8.747" Properties=species:S:1:pos:R:3 pbc="T T T"
Mg 0.000 0.000 0.000
Zn 1.732 1.732 2.086
Br 0.000 0.000 3.482
Br 1.732 1.732 7.208
```

Spin magnetization   0.000 μB per atom
ρ   3.9 Mg/m³
Calculated total energy   -2.047 eV/atom
Uncorrected formation energy   -2.0 eV per formula unit



MgZn2Br | PBE | relaxed

extended XYZ file:
```
8
Lattice="4.227 0.000 0.000 0.000 4.227 0.000 0.000 0.000 9.671" Properties=species:S:1:pos:R:3 pbc="T T T"
Mg 0.000 0.000 0.000
Mg 2.113 2.113 4.836
Zn 0.000 0.000 4.836
Zn 0.000 2.113 7.254
Zn 2.113 0.000 2.418
Zn 2.113 2.113 0.000
Br 0.000 2.113 2.418
Br 2.113 0.000 7.254
```

Spin magnetization   0.000 μB per atom
ρ   4.5 Mg/m³
Calculated total energy   -1.417 eV/atom
Uncorrected formation energy   0.1 eV per formula unit



MgZnBr2 | PBE | relaxed

extended XYZ file:
```
8
Lattice="3.563 0.000 0.000 0.000 7.583 0.000 0.000 0.000 9.507" Properties=species:S:1:pos:R:3 pbc="T T T"
Mg 0.000 0.000 0.000
Mg 1.781 3.791 4.754
Zn 0.000 3.791 6.993
Zn 1.781 0.000 2.239
Br 0.000 0.000 4.076
Br 0.000 3.791 2.912
Br 1.781 0.000 7.666
Br 1.781 3.791 8.830
```

Spin magnetization   0.000 μB per atom
ρ   3.2 Mg/m³
Calculated total energy   -2.188 eV/atom
Uncorrected formation energy   -2.5 eV per formula unit



Mg2ZnBr | PBE | relaxed

extended XYZ file:
```
16
Lattice="7.640 0.000 0.000 0.000 7.640 0.000 0.000 0.000 6.651" Properties=species:S:1:pos:R:3 pbc="T T T"
Mg 1.864 5.730 0.831
Mg 1.910 1.864 5.819
Mg 1.910 1.956 2.494
Mg 1.956 5.730 4.157
Mg 5.684 1.910 4.157
Mg 5.730 5.684 2.494
Mg 5.730 5.777 5.819
Mg 5.777 1.910 0.831
Zn 0.000 0.000 0.000
Zn 0.000 3.820 1.663
Zn 3.820 0.000 4.988
Zn 3.820 3.820 3.325
Br 0.000 0.000 3.325
Br 0.000 3.820 4.988
Br 3.820 0.000 1.663
Br 3.820 3.820 0.000
```

Spin magnetization   0.000 μB per atom
ρ   3.3 Mg/m³
Calculated total energy   -1.713 eV/atom
Uncorrected formation energy   -0.7 eV per formula unit



Mg2ZnBr | PBE | relaxed

extended XYZ file:
```
4
Lattice="3.459 0.000 0.000 0.000 3.459 0.000 0.000 0.000 8.528" Properties=species:S:1:pos:R:3 pbc="T T T"
Mg 0.000 0.000 0.000
Mg 1.729 1.729 2.178
Zn 0.000 0.000 3.558
Br 1.729 1.729 7.017
```

Spin magnetization   0.000 μB per atom
ρ   3.2 Mg/m³
Calculated total energy   -1.785 eV/atom
Uncorrected formation energy   -1.0 eV per formula unit



MgZnBr3 | PBE | relaxed

extended XYZ file:
```
5
Lattice="5.177 0.000 0.000 0.000 5.177 0.000 0.000 0.000 5.177" Properties=species:S:1:pos:R:3 pbc="T T T"
Mg 0.000 0.000 0.000
Zn 2.589 2.589 2.589
Br 0.000 2.589 2.589
Br 2.589 0.000 2.589
Br 2.589 2.589 0.000
```

Spin magnetization   0.000 μB per atom
ρ   3.9 Mg/m³
Calculated total energy   -2.072 eV/atom
Uncorrected formation energy   -2.5 eV per formula unit



Mg2ZnBr | PBE | relaxed

extended XYZ file:
```
8
Lattice="3.481 0.000 0.000 0.000 6.169 0.000 0.000 0.000 8.920" Properties=species:S:1:pos:R:3 pbc="T T T"
Mg 0.000 0.000 2.201
Mg 0.000 0.000 6.719
Mg 1.740 3.085 2.259
Mg 1.740 3.085 6.660
Zn 0.000 3.085 4.460
Zn 1.740 0.000 0.000
Br 0.000 3.085 0.000
Br 1.740 0.000 4.460
```

Spin magnetization   0.000 μB per atom
ρ   3.4 Mg/m³
Calculated total energy   -1.707 eV/atom
Uncorrected formation energy   -0.7 eV per formula unit



Mg2ZnBr | PBE | relaxed

extended XYZ file:
```
4
Lattice="3.278 0.000 0.000 0.000 5.352 0.000 -0.005 0.000 5.343" Properties=species:S:1:pos:R:3 pbc="T T T"
Mg 0.000 0.000 0.000
Mg 0.014 2.676 2.661
Zn 1.555 0.000 2.664
Br 2.846 2.676 5.332
```

Spin magnetization   0.000 μB per atom
ρ   3.4 Mg/m³
Calculated total energy   -1.730 eV/atom
Uncorrected formation energy   -0.8 eV per formula unit



MgZn2Br | PBE | relaxed

extended XYZ file:
```
4
Lattice="3.396 0.000 0.000 0.000 4.423 0.000 0.000 0.000 5.939" Properties=species:S:1:pos:R:3 pbc="T T T"
Mg 0.000 0.000 0.000
Zn 0.000 2.212 2.969
Zn 1.698 0.000 2.969
Br 1.698 2.212 0.000
```

Spin magnetization   0.000 μB per atom
ρ   4.4 Mg/m³
Calculated total energy   -1.525 eV/atom
Uncorrected formation energy   -0.3 eV per formula unit



MgZnBr2 | PBE | relaxed

extended XYZ file:
```
12
Lattice="3.684 0.000 0.000 -1.842 3.191 0.000 0.000 0.000 29.663" Properties=species:S:1:pos:R:3 pbc="T T T"
Mg 0.000 0.000 0.000
Mg 0.000 2.127 19.775
Mg 1.842 1.064 9.888
Zn 0.000 0.000 14.832
Zn 0.000 2.127 4.944
Zn 1.842 1.064 24.719
Br 0.000 0.000 3.390
Br 0.000 0.000 26.273
Br 0.000 2.127 16.385
Br 0.000 2.127 23.166
Br 1.842 1.064 6.497
Br 1.842 1.064 13.278
```

Spin magnetization   0.000 μB per atom
ρ   3.6 Mg/m³
Calculated total energy   -1.932 eV/atom
Uncorrected formation energy   -1.5 eV per formula unit



MgZnBr2 | PBE | relaxed

extended XYZ file:
```
8
Lattice="3.674 0.000 0.000 0.000 7.004 0.000 0.000 0.000 9.674" Properties=species:S:1:pos:R:3 pbc="T T T"
Mg 0.000 0.000 0.000
Mg 1.837 3.502 0.000
Zn 0.000 3.502 7.439
Zn 1.837 0.000 7.439
Br 0.000 0.000 5.752
Br 0.000 3.502 1.766
Br 1.837 0.000 1.766
Br 1.837 3.502 5.752
```

Spin magnetization   0.000 μB per atom
ρ   3.3 Mg/m³
Calculated total energy   -2.167 eV/atom
Uncorrected formation energy   -2.5 eV per formula unit